[1]
Here is a relaxed LiYGaPt crystal from Alexandria via LeMat-Bulk. Energies are from PBE-GGA.

Cell: 4.6680 4.6680 4.6680 Å, 60.00 60.00 60.00°
Closest atoms and distances in Å follow each position.
Atoms (fractional coordinates):
Li 0.0000 0.0000 0.0000  4 Ga 2.86, 4 Y 2.86
Y 0.7500 0.7500 0.7500  4 Li 2.86, 4 Pt 2.86
Ga 0.2500 0.2500 0.2500  4 Li 2.86, 4 Pt 2.86
Pt 0.5000 0.5000 0.5000  4 Y 2.86, 4 Ga 2.86

Properties
DFT total energy: -5.132 eV/atom
Space-group type: F-43m
Formation energy: -0.771 eV per atom

***

[2]
Here is a relaxed LaScOsO6 crystal from Alexandria via LeMat-Bulk. Energies are from PBE-GGA.

Cell: 5.3336 5.3336 5.1735 Å, 90.00 90.00 120.00°
Closest atoms and distances in Å follow each position.
Atoms (fractional coordinates):
La 0.0000 0.0000 0.0000  6 O 2.44
Sc 0.3333 0.6667 0.5000  6 O 2.11
Os 0.6667 0.3333 0.5000  6 O 1.95
O 0.3748 0.0237 0.7122  1 Os 1.95, 1 Sc 2.11
O 0.3748 0.3512 0.2878  1 Os 1.95, 1 Sc 2.11
O 0.6488 0.0237 0.2878  1 Os 1.95, 1 Sc 2.11
O 0.6488 0.6252 0.7122  1 Os 1.95, 1 Sc 2.11
O 0.9763 0.3512 0.7122  1 Os 1.95, 1 Sc 2.11
O 0.9763 0.6252 0.2878  1 Os 1.95, 1 Sc 2.11

Properties
DFT total energy: -8.195 eV/atom
Formation energy from raw total energies: -2.391 eV per atom
Space-group type: P312

***

[3]
Here is a relaxed BeCr3Co crystal from Alexandria via LeMat-Bulk. Energies are from PBE-GGA.

Cell: 3.8724 3.8724 3.8724 Å, 90.00 90.00 90.00°
Closest atoms and distances in Å follow each position.
Atoms (fractional coordinates):
Be 0.0000 0.0000 0.0000  6 Cr 1.94
Cr 0.0000 0.0000 0.5000  2 Be 1.94
Cr 0.0000 0.5000 0.0000  2 Be 1.94
Cr 0.5000 0.0000 0.0000  2 Be 1.94
Co 0.5000 0.5000 0.5000  12 Cr 2.74

Properties
DFT total energy: -6.999 eV/atom
Space-group type: Pm-3m
Energy above the lowest structure with this stoichiometry: 0.0 kJ/mol of atoms
Formation energy: 0.941 eV per atom